A relaxed structure of Tl2RhN. Source: the Alexandria database, functional GGA-PBE.

Results
* crystal system: cubic
* E: -3.975 eV/atom

abc: 6.5512 6.5512 6.5512
angles: 90.00 90.00 90.00
Fractional coordinates of all 16 atoms:
Tl (0.2500, 0.2500, 0.2500)
Tl (0.2500, 0.2500, 0.7500)
Tl (0.2500, 0.7500, 0.2500)
Tl (0.2500, 0.7500, 0.7500)
Tl (0.7500, 0.2500, 0.2500)
Tl (0.7500, 0.2500, 0.7500)
Tl (0.7500, 0.7500, 0.2500)
Tl (0.7500, 0.7500, 0.7500)
Rh (0.0000, 0.0000, 0.0000)
Rh (0.0000, 0.5000, 0.5000)
Rh (0.5000, 0.0000, 0.5000)
Rh (0.5000, 0.5000, 0.0000)
N (0.0000, 0.0000, 0.5000)
N (0.0000, 0.5000, 0.0000)
N (0.5000, 0.0000, 0.0000)
N (0.5000, 0.5000, 0.5000)

A relaxed structure of TlRh3N. Source: the Alexandria database, functional GGA-PBE.

Results
* crystal system: cubic
* E: -6.367 eV/atom

abc: 4.1654 4.1654 4.1654
angles: 90.00 90.00 90.00
Fractional coordinates of all 5 atoms:
Tl (0.0000, 0.0000, 0.0000)
Rh (0.0000, 0.5000, 0.5000)
Rh (0.5000, 0.0000, 0.5000)
Rh (0.5000, 0.5000, 0.0000)
N (0.5000, 0.5000, 0.5000)

A relaxed structure of TlRhN3. Source: the Alexandria database, functional GGA-PBE.

Results
* crystal system: cubic
* E: -5.393 eV/atom

abc: 3.9688 3.9688 3.9688
angles: 90.00 90.00 90.00
Fractional coordinates of all 5 atoms:
Tl (0.0000, 0.0000, 0.0000)
Rh (0.5000, 0.5000, 0.5000)
N (0.0000, 0.5000, 0.5000)
N (0.5000, 0.0000, 0.5000)
N (0.5000, 0.5000, 0.0000)

A relaxed structure of Tl2RhN. Source: the Alexandria database, functional GGA-PBE.

Results
* crystal system: tetragonal
* E: -4.230 eV/atom

abc: 6.8518 6.8518 6.2789
angles: 90.00 90.00 90.00
Fractional coordinates of all 16 atoms:
Tl (0.1998, 0.7500, 0.1250)
Tl (0.2500, 0.1998, 0.8750)
Tl (0.2500, 0.3002, 0.3750)
Tl (0.3002, 0.7500, 0.6250)
Tl (0.6998, 0.2500, 0.6250)
Tl (0.7500, 0.6998, 0.3750)
Tl (0.7500, 0.8002, 0.8750)
Tl (0.8002, 0.2500, 0.1250)
Rh (0.0000, 0.0000, 0.5000)
Rh (0.0000, 0.5000, 0.7500)
Rh (0.5000, 0.0000, 0.2500)
Rh (0.5000, 0.5000, 0.0000)
N (0.0000, 0.0000, 0.0000)
N (0.0000, 0.5000, 0.2500)
N (0.5000, 0.0000, 0.7500)
N (0.5000, 0.5000, 0.5000)

Number 1: total moment 0.00 μB/f.u., V 70.29 Å³/f.u., formation energy (no corrections) 1.127 eV/atom. Number 2: total moment 0.00 μB/f.u., V 72.27 Å³/f.u., formation energy (no corrections) 0.182 eV/atom. Number 3: total moment 0.00 μB/f.u., V 62.51 Å³/f.u., formation energy (no corrections) 1.546 eV/atom. Number 4: total moment 0.00 μB/f.u., V 73.69 Å³/f.u., formation energy (no corrections) 0.872 eV/atom.